VASP calculation (GGA-PBE) on a relaxed SbRuI2N crystal.

abc: 5.6637 5.6637 3.7258
angles: 90.00 90.00 90.00
Last column: nearest neighbours and their distance in Å.
Atoms (fractional coordinates):
I 0.0000 0.5000 0.0000  2 Ru 2.83
I 0.5000 0.0000 0.0000  2 Ru 2.83
Sb 0.5000 0.5000 0.5000  8 I 3.39, 2 Sb 3.73
N 0.0000 0.0000 0.5000  2 Ru 1.86
Ru 0.0000 0.0000 0.0000  2 N 1.86

formation energy without anion corrections: 0.4827 eV/atom
final energy: -4.48 eV/atom
symmetry: P4/mmm (123)
ρ: 6.82 g/cm3

VASP calculation (GGA-PBE) on a relaxed CaScNi2 crystal.

abc: 4.0020 3.6874 5.5529
angles: 70.63 90.00 90.00
Last column: nearest neighbours and their distance in Å.
Atoms (fractional coordinates):
Sc 0.0000 0.4969 0.3809  6 Ni 2.63-2.78
Ni 0.0000 0.1760 0.0234  2 Ni 2.39, 2 Sc 2.63
Ni 0.5000 0.0507 0.2727  2 Ni 2.39
Ca 0.5000 0.7764 0.8229  7 Ni 2.88-2.99

final energy: -5.21 eV/atom
symmetry: Amm2 (38)
energy relative to the elements: -0.24 eV/atom
ρ: 4.35 g/cm3

VASP calculation (GGA-PBE) on a relaxed MgAgRh crystal.

abc: 4.7354 8.5060 4.8926
angles: 90.00 90.00 90.00
Last column: nearest neighbours and their distance in Å.
Atoms (fractional coordinates):
Mg 0.0000 0.0000 0.9984  6 Ag 2.73-2.96, 4 Rh 2.82, 2 Mg 3.01
Mg 0.0000 0.5000 0.4984  6 Ag 2.73-2.96, 4 Rh 2.82, 2 Mg 3.01
Mg 0.5000 0.0000 0.6185  6 Rh 2.79-2.85, 4 Ag 2.87, 2 Mg 3.01
Mg 0.5000 0.5000 0.1185  6 Rh 2.79-2.85, 4 Ag 2.87, 2 Mg 3.01
Ag 0.0000 0.6703 0.9705  5 Mg 2.73-2.96, 3 Ag 2.80-2.90, 4 Rh 2.85-2.91
Ag 0.0000 0.3297 0.9705  5 Mg 2.73-2.96, 3 Ag 2.80-2.90, 4 Rh 2.85-2.91
Ag 0.0000 0.1703 0.4705  5 Mg 2.73-2.96, 3 Ag 2.80-2.90, 4 Rh 2.85-2.91
Ag 0.0000 0.8297 0.4705  5 Mg 2.73-2.96, 3 Ag 2.80-2.90, 4 Rh 2.85-2.91
Rh 0.5000 0.6657 0.6255  5 Mg 2.79-2.85, 3 Rh 2.82-2.84, 4 Ag 2.85-2.91
Rh 0.5000 0.3343 0.6255  5 Mg 2.79-2.85, 3 Rh 2.82-2.84, 4 Ag 2.85-2.91
Rh 0.5000 0.1657 0.1255  5 Mg 2.79-2.85, 3 Rh 2.82-2.84, 4 Ag 2.85-2.91
Rh 0.5000 0.8343 0.1255  5 Mg 2.79-2.85, 3 Rh 2.82-2.84, 4 Ag 2.85-2.91

final energy: -4.09 eV/atom
symmetry: Amm2 (38)
energy relative to the elements: -0.16 eV/atom
ρ: 7.92 g/cm3